[1]
Below is crystalline Tl6CdHg23 at its relaxed geometry, with properties calculated at the PBE level.

Output
**Energy of formation**: 0.0030 eV/atom
**Volume**: 28.117 A^3/atom
**Symmetry**: No. 225

Cell: 10.606 10.606 10.606 Å, 60.00 60.00 60.00°
Sites, in units of the cell vectors:
Tl  0.779  0.779  0.221
Tl  0.221  0.221  0.779
Tl  0.779  0.221  0.221
Tl  0.221  0.779  0.779
Tl  0.779  0.221  0.779
Tl  0.221  0.779  0.221
Cd  0.500  0.500  0.500
Hg  0.520  0.160  0.160
Hg  0.480  0.840  0.840
Hg  0.160  0.160  0.520
Hg  0.160  0.160  0.160
Hg  0.840  0.840  0.480
Hg  0.840  0.840  0.840
Hg  0.160  0.520  0.160
Hg  0.840  0.480  0.840
Hg  0.500  0.500  0.000
Hg  0.000  0.000  0.500
Hg  0.500  0.000  0.000
Hg  0.000  0.500  0.500
Hg  0.500  0.000  0.500
Hg  0.000  0.500  0.000
Hg  0.856  0.381  0.381
Hg  0.144  0.619  0.619
Hg  0.381  0.381  0.856
Hg  0.381  0.381  0.381
Hg  0.619  0.619  0.144
Hg  0.619  0.619  0.619
Hg  0.381  0.856  0.381
Hg  0.619  0.144  0.619
Hg  0.000  0.000  0.000

[2]
Below is crystalline SiTc2Ni at its relaxed geometry, with properties calculated at the PBE level.

Output
**Volume**: 12.910 A^3/atom
**Symmetry**: No. 123
**E_form (uncorrected)**: -0.207 eV/atom

Cell: 4.255 4.255 2.852 Å, 90.00 90.00 90.00°
Sites, in units of the cell vectors:
Ni  0.500  0.000  0.500
Si  0.000  0.500  0.500
Tc  0.000  0.000  0.000
Tc  0.500  0.500  0.000

[3]
Below is crystalline La3Pr3ScTe8 at its relaxed geometry, with properties calculated at the PBE level.

Output
**Volume**: 34.943 A^3/atom
**Symmetry**: No. 166
**E_form (uncorrected)**: -1.480 eV/atom

Cell: 9.030 9.031 9.070 Å, 119.86 90.00 120.00°
Sites, in units of the cell vectors:
La  0.000  0.000  0.000
La  0.000  0.500  0.000
La  0.500  0.500  0.000
Pr  0.500  0.000  0.500
Pr  0.500  0.500  0.500
Pr  0.000  0.500  0.500
Sc  0.000  0.000  0.500
Te  0.251  0.501  0.252
Te  0.749  0.499  0.748
Te  0.761  0.523  0.263
Te  0.239  0.477  0.737
Te  0.761  0.001  0.263
Te  0.239  0.999  0.737
Te  0.240  0.001  0.263
Te  0.760  0.999  0.737

[4]
Below is crystalline Gd2ZnSe at its relaxed geometry, with properties calculated at the PBE level.

Output
**Excess energy over the best structure of this formula in the dataset**: 112 meV/atom
**Volume**: 23.473 A^3/atom
**Symmetry**: No. 123
**E_form (uncorrected)**: -0.894 eV/atom

Cell: 3.629 3.629 7.130 Å, 90.00 90.00 90.00°
Sites, in units of the cell vectors:
Zn  0.500  0.500  0.000
Gd  0.000  0.000  0.749
Gd  0.000  0.000  0.251
Se  0.500  0.500  0.500

[5]
Below is crystalline SrHgOs at its relaxed geometry, with properties calculated at the PBE level.

Output
**Energy of formation**: 0.6524 eV/atom
**Excess energy over the best structure of this formula in the dataset**: 35 meV/atom
**Volume**: 22.396 A^3/atom
**Symmetry**: No. 187

Cell: 5.078 5.078 3.009 Å, 90.00 90.00 120.00°
Sites, in units of the cell vectors:
Hg  0.000  0.000  0.167
Os  0.667  0.333  0.167
Sr  0.333  0.667  0.667

[6]
Below is crystalline Tm4PaP5 at its relaxed geometry, with properties calculated at the PBE level.

Output
**Energy of formation**: -1.5546 eV/atom
**Volume**: 21.733 A^3/atom
**Symmetry**: No. 87

Cell: 5.588 6.834 6.834 Å, 80.38 65.87 65.87°
Sites, in units of the cell vectors:
Tm  0.401  0.402  0.798
Tm  0.803  0.798  0.598
Tm  0.199  0.202  0.402
Tm  0.601  0.598  0.202
Pa  0.001  0.000  0.000
P  0.902  0.396  0.801
P  0.298  0.801  0.604
P  0.704  0.199  0.396
P  0.100  0.604  0.199
P  0.501  0.000  0.000

[7]
Below is crystalline SnClO2 at its relaxed geometry, with properties calculated at the PBE level.

Output
**Excess energy over the best structure of this formula in the dataset**: 1384 meV/atom
**Volume**: 17.253 A^3/atom
**Symmetry**: No. 166
**E_form (uncorrected)**: 0.524 eV/atom

Cell: 7.314 7.314 7.314 Å, 26.57 26.57 26.57°
Sites, in units of the cell vectors:
Sn  0.000  0.000  0.000
O  0.908  0.908  0.908
O  0.092  0.092  0.092
Cl  0.500  0.500  0.500

[8]
Below is crystalline RbInRe2O8 at its relaxed geometry, with properties calculated at the PBE level.

Output
**Volume**: 24.441 A^3/atom
**Symmetry**: No. 147
**E_form (uncorrected)**: -1.658 eV/atom

Cell: 6.278 6.278 8.593 Å, 90.00 90.00 120.00°
Sites, in units of the cell vectors:
Rb  0.000  0.000  0.000
In  0.000  0.000  0.500
Re  0.667  0.333  0.203
Re  0.333  0.667  0.797
O  0.333  0.667  0.000
O  0.361  0.185  0.270
O  0.815  0.176  0.270
O  0.667  0.333  0.000
O  0.185  0.824  0.730
O  0.639  0.815  0.730
O  0.176  0.361  0.730
O  0.824  0.639  0.270

[9]
Below is crystalline SrTcC at its relaxed geometry, with properties calculated at the PBE level.

Output
**Energy of formation**: 0.2607 eV/atom
**Excess energy over the best structure of this formula in the dataset**: 114 meV/atom
**Volume**: 18.077 A^3/atom
**Symmetry**: No. 8

Cell: 5.460 3.502 6.121 Å, 90.00 112.06 90.00°
Sites, in units of the cell vectors:
Sr  0.982  0.000  0.183
Sr  0.982  0.500  0.683
C  0.426  0.000  0.995
C  0.426  0.500  0.495
Tc  0.461  0.000  0.677
Tc  0.461  0.500  0.177

[10]
Below is crystalline Mn2TcAgCl at its relaxed geometry, with properties calculated at the PBE level.

Output
**Volume**: 15.935 A^3/atom
**Symmetry**: No. 123
**E_form (uncorrected)**: 1.451 eV/atom

Cell: 4.099 4.742 4.099 Å, 90.00 90.00 90.00°
Sites, in units of the cell vectors:
Mn  0.000  0.000  0.500
Mn  0.500  0.000  0.000
Tc  0.500  0.500  0.500
Ag  0.000  0.500  0.000
Cl  0.000  0.000  0.000

[11]
Below is crystalline Ce3Sm2PaP6 at its relaxed geometry, with properties calculated at the PBE level.

Output
**Energy of formation**: -1.4994 eV/atom
**Volume**: 23.896 A^3/atom
**Symmetry**: No. 12

Cell: 7.049 7.049 7.063 Å, 99.57 99.57 119.98°
Sites, in units of the cell vectors:
Ce  0.169  0.831  0.500
Ce  0.831  0.169  0.500
Ce  0.500  0.500  0.500
Sm  0.334  0.666  0.000
Sm  0.666  0.334  0.000
Pa  0.000  0.000  0.000
P  0.918  0.594  0.754
P  0.759  0.759  0.247
P  0.082  0.406  0.246
P  0.594  0.918  0.754
P  0.241  0.241  0.753
P  0.406  0.082  0.246

[12]
Below is crystalline SbIr2AuI at its relaxed geometry, with properties calculated at the PBE level.

Output
**Volume**: 25.706 A^3/atom
**Symmetry**: No. 123
**E_form (uncorrected)**: 1.366 eV/atom

Cell: 4.983 5.176 4.983 Å, 90.00 90.00 90.00°
Sites, in units of the cell vectors:
I  0.500  0.500  0.500
Sb  0.000  0.000  0.000
Ir  0.000  0.000  0.500
Ir  0.500  0.000  0.000
Au  0.000  0.500  0.000

no.,VASP energy (eV per atom)
1,-0.73
2,-8.19
3,-5.52
4,-9.12
5,-3.75
6,-7.00
7,-3.42
8,-7.35
9,-6.83
10,-5.23
11,-7.27
12,-3.97